P) Computed, not measured: a geometry-optimized MnPIrN structure at the PBE level of DFT.

Geometry as POSCAR:
```
MnPIrN
1.0
3.164 0.000 0.000
-1.582 2.741 0.000
0.000 0.000 5.851
N Ir P Mn
1 1 1 1
direct
0.333 0.667 0.467 N
0.000 0.000 0.061 Ir
0.667 0.333 0.834 P
0.667 0.333 0.450 Mn
```



Q) Computed, not measured: a geometry-optimized MnPIrN structure at the PBE level of DFT.

Geometry as POSCAR:
```
MnPIrN
1.0
2.964 0.000 0.000
-1.482 2.567 0.000
0.000 0.000 6.250
Ir Mn P N
1 1 1 1
direct
0.333 0.667 0.078 Ir
0.667 0.333 0.510 Mn
0.000 0.000 0.816 P
0.333 0.667 0.408 N
```



Energy above the most stable structure, in meV/atom: P) 0; Q) 14



P) Computed, not measured: a geometry-optimized MnPIrN structure at the PBE level of DFT.

Geometry as POSCAR:
```
MnPIrN
1.0
8.462 0.000 -0.190
0.000 2.928 0.000
-0.879 0.000 4.993
N P Mn Ir
2 2 2 2
direct
0.552 0.000 0.615 N
0.552 0.500 0.115 N
0.101 0.000 0.126 P
0.101 0.500 0.626 P
0.633 0.000 0.974 Mn
0.633 0.500 0.474 Mn
0.901 0.500 0.895 Ir
0.901 0.000 0.395 Ir
```



Q) Computed, not measured: a geometry-optimized MnPIrN structure at the PBE level of DFT.

Geometry as POSCAR:
```
MnPIrN
1.0
-1.839 2.095 2.943
-2.085 0.638 -1.757
-2.864 -8.597 0.276
N Mn Ir P
2 2 2 2
direct
0.550 0.000 0.773 N
0.550 0.500 0.273 N
0.859 0.500 0.690 Mn
0.859 0.000 0.190 Mn
0.200 0.000 0.537 Ir
0.200 0.500 0.037 Ir
0.611 0.500 0.906 P
0.611 0.000 0.406 P
```



Energy above the most stable structure, in meV/atom: P) 0; Q) 106



P) Computed, not measured: a geometry-optimized MnPIrN structure at the PBE level of DFT.

Geometry as POSCAR:
```
MnPIrN
1.0
-0.225 2.571 1.240
-2.922 -3.003 2.393
4.084 -0.157 1.063
Ir Mn P N
1 1 1 1
direct
0.072 0.119 0.954 Ir
0.288 0.552 0.670 Mn
0.966 0.908 0.348 P
0.333 0.641 0.215 N
```



Q) Computed, not measured: a geometry-optimized MnPIrN structure at the PBE level of DFT.

Geometry as POSCAR:
```
MnPIrN
1.0
6.308 0.000 -0.016
0.000 3.243 0.000
-1.660 0.000 5.380
P N Ir Mn
2 2 2 2
direct
0.173 0.000 0.205 P
0.173 0.500 0.705 P
0.446 0.000 0.296 N
0.446 0.500 0.796 N
0.969 0.000 0.470 Ir
0.969 0.500 0.970 Ir
0.600 0.500 0.514 Mn
0.600 0.000 0.014 Mn
```



R) Computed, not measured: a geometry-optimized MnPIrN structure at the PBE level of DFT.

Geometry as POSCAR:
```
MnPIrN
1.0
-2.682 -0.607 -0.355
0.484 -2.727 1.004
-2.369 3.787 11.427
N Ir P Mn
2 2 2 2
direct
0.500 0.500 0.195 N
0.500 0.000 0.695 N
0.000 0.000 0.970 Ir
0.000 0.500 0.470 Ir
0.000 0.500 0.110 P
0.000 0.000 0.610 P
0.500 0.000 0.320 Mn
0.500 0.500 0.820 Mn
```



Energy above the most stable structure, in meV/atom: P) 101; Q) 0; R) 24



P) Computed, not measured: a geometry-optimized MnIrS2N structure at the PBE level of DFT.

Geometry as POSCAR:
```
MnIrS2N
1.0
-0.374 3.172 -3.708
-4.384 -1.852 -1.142
-1.597 2.409 2.222
N Mn Ir S
1 1 1 2
direct
0.000 0.000 0.500 N
0.500 0.500 0.500 Mn
0.000 0.000 0.000 Ir
0.500 0.000 0.000 S
0.000 0.500 0.000 S
```



Q) Computed, not measured: a geometry-optimized MnIrS2N structure at the PBE level of DFT.

Geometry as POSCAR:
```
MnIrS2N
1.0
-2.789 2.974 2.086
-1.758 -3.406 2.506
2.340 0.534 2.367
Mn Ir S N
1 1 2 1
direct
0.000 0.000 0.000 Mn
0.500 0.500 0.500 Ir
0.000 0.500 0.000 S
0.500 0.000 0.000 S
0.000 0.000 0.500 N
```



Energy above the most stable structure, in meV/atom: P) 0; Q) 240



P) Computed, not measured: a geometry-optimized MnIrSe2N structure at the PBE level of DFT.

Geometry as POSCAR:
```
MnIrSe2N
1.0
-1.402 -0.500 4.945
-4.620 -1.763 -1.488
1.295 -3.413 0.022
Se Ir N Mn
2 1 1 1
direct
0.500 0.000 0.000 Se
0.000 0.500 0.000 Se
0.000 0.000 0.000 Ir
0.000 0.000 0.500 N
0.500 0.500 0.500 Mn
```



Q) Computed, not measured: a geometry-optimized MnIrSe2N structure at the PBE level of DFT.

Geometry as POSCAR:
```
MnIrSe2N
1.0
-4.251 1.379 -1.820
-1.462 -4.598 -0.069
-1.226 0.343 3.124
Ir Se N Mn
1 2 1 1
direct
0.500 0.500 0.500 Ir
0.500 0.000 0.000 Se
0.000 0.500 0.000 Se
0.000 0.000 0.500 N
0.000 0.000 0.000 Mn
```



Energy above the most stable structure, in meV/atom: P) 0; Q) 171



P) Computed, not measured: a geometry-optimized Mn2IrWN structure at the PBE level of DFT.

Geometry as POSCAR:
```
Mn2IrWN
1.0
-2.686 1.654 -2.145
-1.536 -3.418 -0.712
-2.367 0.385 3.260
W Mn N Ir
1 2 1 1
direct
0.000 0.000 0.500 W
0.000 0.500 0.000 Mn
0.500 0.000 0.000 Mn
0.000 0.000 0.000 N
0.500 0.500 0.500 Ir
```



Q) Computed, not measured: a geometry-optimized Mn2IrWN structure at the PBE level of DFT.

Geometry as POSCAR:
```
Mn2IrWN
1.0
4.863 0.000 0.000
0.000 4.658 0.000
0.000 0.000 4.863
N Mn W Ir
1 2 1 1
direct
0.500 0.500 0.500 N
0.000 0.000 0.500 Mn
0.500 0.000 0.000 Mn
0.000 0.000 0.000 W
0.000 0.500 0.000 Ir
```



Energy above the most stable structure, in meV/atom: P) 0; Q) 2616